# 1
Computed, not measured: ZrAgP2 after structural relaxation at the PBEsol level of DFT.

## Properties
- total DFT energy (no corrections) (eV per atom) = -6.514
- ΔH_f (0 K) (meV per atom) = -518

Lattice parameters (Å, degrees): 3.5470 3.9817 5.1444 101.68 110.17 90.00
Sites, in units of the cell vectors:
Ag 0.7546 0.1951 0.5093
P 0.9922 0.0666 0.9845
P 0.2349 0.6594 0.4699
Zr 0.5182 0.5790 0.0364


# 2
Computed, not measured: TlAsIr2 after structural relaxation at the PBEsol level of DFT.

## Properties
- total DFT energy (no corrections) (eV per atom) = -6.352
- ΔH_f (0 K) (meV per atom) = 494

Lattice parameters (Å, degrees): 3.5759 4.2907 4.2907 90.00 90.00 90.00
Sites, in units of the cell vectors:
Tl 0.5000 0.5000 0.5000
Ir 0.0000 0.0000 0.5000
Ir 0.0000 0.5000 0.0000
As 0.5000 0.0000 0.0000


# 3
Computed, not measured: BPIO2 after structural relaxation at the PBEsol level of DFT.

## Properties
- total DFT energy (no corrections) (eV per atom) = -4.823
- ΔE_f (raw) (eV per atom) = 0.192

Lattice parameters (Å, degrees): 3.3864 3.3864 6.3188 90.00 90.00 90.00
Last column: magnetic moment on the atom in μB.
Sites, in units of the cell vectors:
I 0.0000 0.0000 0.5000  0.00
P 0.0000 0.0000 0.0000  0.02
B 0.5000 0.5000 0.5000  0.26
O 0.0000 0.5000 0.0000  0.01
O 0.5000 0.0000 0.0000  0.01


# 4
Computed, not measured: P2PtO7 after structural relaxation at the PBEsol level of DFT.

## Properties
- total DFT energy (no corrections) (eV per atom) = -7.154
- ΔE_f (raw) (eV per atom) = -1.625

Lattice parameters (Å, degrees): 7.1195 7.9234 9.3215 90.00 111.74 90.00
Sites, in units of the cell vectors:
P 0.8625 0.7479 0.2068
P 0.6375 0.2479 0.2932
P 0.1375 0.2521 0.7932
P 0.3625 0.7521 0.7068
P 0.2485 0.6798 0.1803
P 0.2515 0.1798 0.3197
P 0.7515 0.3202 0.8197
P 0.7485 0.8202 0.6803
Pt 0.0000 0.0000 0.5000
Pt 0.5000 0.5000 0.0000
Pt 0.5000 0.5000 0.5000
Pt 0.0000 0.0000 0.0000
O 0.0300 0.6310 0.1798
O 0.4700 0.1310 0.3202
O 0.9700 0.3690 0.8202
O 0.5300 0.8690 0.6798
O 0.2416 0.8609 0.1192
O 0.2584 0.3609 0.3808
O 0.7584 0.1391 0.8808
O 0.7416 0.6391 0.6192
O 0.4040 0.6868 0.3466
O 0.0960 0.1868 0.1534
O 0.5960 0.3132 0.6534
O 0.9040 0.8132 0.8466
O 0.3217 0.5989 0.5994
O 0.1783 0.0989 0.9006
O 0.6783 0.4011 0.4006
O 0.8217 0.9011 0.0994
O 0.4365 0.7128 0.8798
O 0.0635 0.2128 0.6202
O 0.5635 0.2872 0.1202
O 0.9365 0.7872 0.3798
O 0.1756 0.8622 0.6760
O 0.3244 0.3622 0.8240
O 0.8244 0.1378 0.3240
O 0.6756 0.6378 0.1760
O 0.7785 0.9621 0.5785
O 0.7215 0.4621 0.9215
O 0.2215 0.0379 0.4215
O 0.2785 0.5379 0.0785